[1]
# BaLiPb2

A relaxed structure of BaLiPb2 (PBE, the Alexandria database).

Cell: 4.127 4.127 7.732 Å, 90.00 90.00 90.00°
Space group P4mm (No. 99)
Unique sites:
1 Ba 0.000 0.000 0.000 [1 per cell]
2 Li 0.500 0.500 0.333 [1 per cell]
3 Pb 0.000 0.000 0.482 [1 per cell]
4 Pb 0.500 0.500 0.707 [1 per cell]

Results
The calculated formation energy is -4.81 kcal/mol of atoms. The total magnetization is 0.000 μB per atom. The value obtained for the total energy is -3.02 eV/atom. The calculation puts the volume at 32.9 Å³/atom.

[2]
# Ba2Li2Pb

A relaxed structure of Ba2Li2Pb (PBE, the Alexandria database).

Cell: 4.165 4.165 21.846 Å, 90.00 90.00 90.00°
Space group I4/mmm (No. 139)
Unique sites:
1 Ba 0.000 0.000 0.100 [4 per cell]
2 Li 0.000 0.500 0.250 [4 per cell]
3 Pb 0.000 0.000 0.500 [2 per cell]

Results
The calculated formation energy is -3.94 kcal/mol of atoms. Its energy above the most stable polymorph in this dataset is 0.49 eV per formula unit. The total magnetization is 0.000 μB per atom. The value obtained for the total energy is -2.45 eV/atom. The calculation puts the volume at 37.9 Å³/atom.

[3]
# BaLi2Pb

A relaxed structure of BaLi2Pb (PBE, the Alexandria database).

Cell: 7.048 11.115 3.798 Å, 90.00 119.56 90.00°
Space group C2/m (No. 12)
Unique sites:
1 Ba 0.000 0.000 0.000 [2 per cell]
2 Li 0.250 0.250 0.500 [4 per cell]
3 Pb 0.000 0.500 0.000 [2 per cell]

Results
The calculated formation energy is -1.17 kcal/mol of atoms. The total magnetization is 0.000 μB per atom. The value obtained for the total energy is -2.42 eV/atom. The calculation puts the volume at 32.3 Å³/atom.

[4]
# Ba2LiPb

A relaxed structure of Ba2LiPb (PBE, the Alexandria database).

Cell: 5.318 5.318 10.612 Å, 90.00 90.00 90.00°
Space group I-4m2 (No. 119)
Unique sites:
1 Ba 0.000 0.000 0.000 [2 per cell]
2 Ba 0.000 0.500 0.250 [2 per cell]
3 Li 0.000 0.500 0.750 [2 per cell]
4 Pb 0.000 0.000 0.500 [2 per cell]

Results
The calculated formation energy is -4.99 kcal/mol of atoms. The total magnetization is 0.100 μB per atom. The value obtained for the total energy is -2.58 eV/atom. The calculation puts the volume at 37.5 Å³/atom.

[5]
# Ba2LiPb

A relaxed structure of Ba2LiPb (PBE, the Alexandria database).

Cell: 4.131 4.131 9.741 Å, 90.00 90.00 90.00°
Space group P4mm (No. 99)
Unique sites:
1 Ba 0.000 0.000 0.000 [1 per cell]
2 Ba 0.500 0.500 0.385 [1 per cell]
3 Li 0.000 0.000 0.641 [1 per cell]
4 Pb 0.500 0.500 0.757 [1 per cell]

Results
The calculated formation energy is -4.38 kcal/mol of atoms. The total magnetization is 0.000 μB per atom. The value obtained for the total energy is -2.56 eV/atom. The calculation puts the volume at 41.6 Å³/atom.

[6]
# BaLiPb2

A relaxed structure of BaLiPb2 (PBE, the Alexandria database).

Cell: 8.384 4.899 12.977 Å, 90.00 90.00 90.00°
Space group Pnma (No. 62)
Unique sites:
1 Ba 0.149 0.250 0.151 [4 per cell]
2 Li 0.132 0.250 0.436 [4 per cell]
3 Pb 0.032 0.250 0.649 [4 per cell]
4 Pb 0.172 0.250 0.870 [4 per cell]

Results
The calculated formation energy is -10.06 kcal/mol of atoms. The total magnetization is 0.000 μB per atom. The value obtained for the total energy is -3.25 eV/atom. The calculation puts the volume at 33.3 Å³/atom.

[7]
# BaLiPb

A relaxed structure of BaLiPb (PBE, the Alexandria database).

Cell: 8.694 5.301 8.536 Å, 90.00 90.00 90.00°
Space group Pnma (No. 62)
Unique sites:
1 Ba 0.010 0.250 0.196 [4 per cell]
2 Li 0.161 0.750 0.423 [4 per cell]
3 Pb 0.194 0.250 0.596 [4 per cell]

Results
The calculated formation energy is -9.96 kcal/mol of atoms. The total magnetization is 0.000 μB per atom. The value obtained for the total energy is -2.95 eV/atom. The calculation puts the volume at 32.8 Å³/atom.

[8]
# BaLiPb2

A relaxed structure of BaLiPb2 (PBE, the Alexandria database).

Cell: 3.786 4.038 8.009 Å, 90.00 90.00 90.00°
Space group Pmmm (No. 47)
Unique sites:
1 Ba 0.000 0.000 0.000 [1 per cell]
2 Li 0.000 0.000 0.500 [1 per cell]
3 Pb 0.500 0.500 0.304 [2 per cell]

Results
The calculated formation energy is -8.35 kcal/mol of atoms. The total magnetization is 0.000 μB per atom. The value obtained for the total energy is -3.18 eV/atom. The calculation puts the volume at 30.6 Å³/atom.

[9]
# BaLi2Pb

A relaxed structure of BaLi2Pb (PBE, the Alexandria database).

Cell: 3.865 3.865 8.294 Å, 90.00 90.00 90.00°
Space group P4mm (No. 99)
Unique sites:
1 Ba 0.000 0.000 0.000 [1 per cell]
2 Li 0.000 0.000 0.534 [1 per cell]
3 Li 0.500 0.500 0.351 [1 per cell]
4 Pb 0.500 0.500 0.702 [1 per cell]

Results
The calculated formation energy is -4.66 kcal/mol of atoms. The total magnetization is 0.000 μB per atom. The value obtained for the total energy is -2.57 eV/atom. The calculation puts the volume at 31.0 Å³/atom.

[10]
# BaLiPb3

A relaxed structure of BaLiPb3 (PBE, the Alexandria database).

Cell: 12.783 5.254 5.145 Å, 90.00 113.71 90.00°
Space group Cm (No. 8)
Unique sites:
1 Ba 0.000 0.000 0.000 [2 per cell]
2 Li 0.353 0.000 0.351 [2 per cell]
3 Pb 0.089 0.500 0.589 [2 per cell]
4 Pb 0.247 0.000 0.746 [2 per cell]
5 Pb 0.252 0.500 0.252 [2 per cell]

Results
The calculated formation energy is -8.40 kcal/mol of atoms. Its energy above the most stable polymorph in this dataset is 0.00 eV per formula unit. The total magnetization is 0.000 μB per atom. The value obtained for the total energy is -3.36 eV/atom. The calculation puts the volume at 31.6 Å³/atom.

[11]
# Ba2LiPb

A relaxed structure of Ba2LiPb (PBE, the Alexandria database).

Cell: 8.357 8.357 8.357 Å, 90.00 90.00 90.00°
Space group F-43m (No. 216)
Unique sites:
1 Ba 0.000 0.000 0.000 [4 per cell]
2 Ba 0.250 0.250 0.250 [4 per cell]
3 Li 0.000 0.000 0.500 [4 per cell]
4 Pb 0.250 0.250 0.750 [4 per cell]

Results
The calculated formation energy is -3.95 kcal/mol of atoms. The total magnetization is 0.000 μB per atom. The value obtained for the total energy is -2.54 eV/atom. The calculation puts the volume at 36.5 Å³/atom.

[12]
# Ba2LiPb6

A relaxed structure of Ba2LiPb6 (PBE, the Alexandria database).

Cell: 10.547 10.547 10.547 Å, 90.00 90.00 90.00°
Space group Fm-3m (No. 225)
Unique sites:
1 Ba 0.250 0.250 0.250 [8 per cell]
2 Li 0.000 0.000 0.000 [4 per cell]
3 Pb 0.000 0.000 0.277 [24 per cell]

Results
The calculated formation energy is -8.56 kcal/mol of atoms. The total magnetization is 0.000 μB per atom. The value obtained for the total energy is -3.48 eV/atom. The calculation puts the volume at 32.6 Å³/atom.

[13]
# Ba2LiPb

A relaxed structure of Ba2LiPb (PBE, the Alexandria database).

Cell: 12.393 5.139 11.118 Å, 90.00 116.68 90.00°
Space group C2/c (No. 15)
Unique sites:
1 Ba 0.177 0.001 0.089 [8 per cell]
2 Li 0.000 0.002 0.250 [4 per cell]
3 Pb 0.000 0.498 0.750 [4 per cell]

Results
The calculated formation energy is -4.73 kcal/mol of atoms. The total magnetization is 0.005 μB per atom. The value obtained for the total energy is -2.57 eV/atom. The calculation puts the volume at 39.5 Å³/atom.

[14]
# BaLiPb

A relaxed structure of BaLiPb (PBE, the Alexandria database).

Cell: 3.844 5.265 10.029 Å, 90.00 90.00 90.00°
Space group Imm2 (No. 44)
Unique sites:
1 Ba 0.000 0.000 0.000 [2 per cell]
2 Li 0.000 0.000 0.675 [2 per cell]
3 Pb 0.000 0.000 0.344 [2 per cell]

Results
The calculated formation energy is -6.15 kcal/mol of atoms. The total magnetization is 0.000 μB per atom. The value obtained for the total energy is -2.78 eV/atom. The calculation puts the volume at 33.8 Å³/atom.

[15]
# BaLi2Pb2

A relaxed structure of BaLi2Pb2 (PBE, the Alexandria database).

Cell: 5.091 7.690 7.755 Å, 90.00 90.00 90.00°
Space group Cmmm (No. 65)
Unique sites:
1 Ba 0.000 0.000 0.000 [2 per cell]
2 Li 0.000 0.167 0.500 [4 per cell]
3 Pb 0.000 0.500 0.307 [4 per cell]

Results
The calculated formation energy is -7.76 kcal/mol of atoms. Its energy above the most stable polymorph in this dataset is 0.30 eV per formula unit. The total magnetization is 0.000 μB per atom. The value obtained for the total energy is -2.97 eV/atom. The calculation puts the volume at 30.4 Å³/atom.

[16]
# BaLiPb2

A relaxed structure of BaLiPb2 (PBE, the Alexandria database).

Cell: 4.749 4.763 6.131 Å, 90.00 90.17 90.00°
Space group Pm (No. 6)
Unique sites:
1 Ba 0.000 0.000 0.000 [1 per cell]
2 Li 0.997 0.500 0.534 [1 per cell]
3 Pb 0.499 0.000 0.475 [1 per cell]
4 Pb 0.499 0.500 0.807 [1 per cell]

Results
The calculated formation energy is -8.37 kcal/mol of atoms. The total magnetization is 0.000 μB per atom. The value obtained for the total energy is -3.18 eV/atom. The calculation puts the volume at 34.7 Å³/atom.

[17]
# BaLi2Pb

A relaxed structure of BaLi2Pb (PBE, the Alexandria database).

Cell: 4.9624 4.9624 16.3925 Å, 90.00 90.00 120.00°
Space group R-3m (No. 166, hexagonal axes)
Unique sites:
1 Ba 0.0000 0.0000 0.0000 [3 per cell]
2 Li 0.0000 0.0000 0.1995 [6 per cell]
3 Pb 0.0000 0.0000 0.5000 [3 per cell]

Results
The calculated formation energy is -8.79 kcal/mol of atoms. The total magnetization is 0.000 μB per atom. The value obtained for the total energy is -2.75 eV/atom. The calculation puts the volume at 29.1 Å³/atom.

[18]
# BaLiPb3

A relaxed structure of BaLiPb3 (PBE, the Alexandria database).

Cell: 5.381 5.381 5.381 Å, 90.00 90.00 90.00°
Space group Pm-3m (No. 221)
Unique sites:
1 Ba 0.000 0.000 0.000 [1 per cell]
2 Li 0.500 0.500 0.500 [1 per cell]
3 Pb 0.000 0.500 0.500 [3 per cell]

Results
The calculated formation energy is -5.88 kcal/mol of atoms. Its energy above the most stable polymorph in this dataset is 0.55 eV per formula unit. The total magnetization is 0.000 μB per atom. The value obtained for the total energy is -3.25 eV/atom. The calculation puts the volume at 31.2 Å³/atom.

[19]
# BaLi3Pb9

A relaxed structure of BaLi3Pb9 (PBE, the Alexandria database).

Cell: 6.242 16.307 7.947 Å, 90.00 109.74 90.00°
Space group C2/m (No. 12)
Unique sites:
1 Ba 0.000 0.000 0.000 [2 per cell]
2 Li 0.000 0.500 0.500 [2 per cell]
3 Li 0.250 0.250 0.000 [4 per cell]
4 Pb 0.000 0.000 0.500 [2 per cell]
5 Pb 0.093 0.384 0.216 [8 per cell]
6 Pb 0.156 0.180 0.341 [8 per cell]

Results
The calculated formation energy is -5.06 kcal/mol of atoms. The total magnetization is 0.000 μB per atom. The value obtained for the total energy is -3.38 eV/atom. The calculation puts the volume at 29.3 Å³/atom.

[20]
# BaLiPb2

A relaxed structure of BaLiPb2 (PBE, the Alexandria database).

Cell: 8.538 4.919 6.967 Å, 90.00 114.01 90.00°
Space group Cm (No. 8)
Unique sites:
1 Ba 0.000 0.000 0.000 [2 per cell]
2 Li 0.305 0.500 0.419 [2 per cell]
3 Pb 0.209 0.000 0.631 [2 per cell]
4 Pb 0.456 0.000 0.371 [2 per cell]

Results
The calculated formation energy is -7.89 kcal/mol of atoms. The total magnetization is 0.154 μB per atom. The value obtained for the total energy is -3.16 eV/atom. The calculation puts the volume at 33.4 Å³/atom.